This record from Alexandria via LeMat-Bulk describes a PBEsol-optimized structure of BaRe2Au. The functional is SCAN.

## Properties
**Crystal system**: monoclinic
**Uncorrected energy**: -62.01 eV per atom
**Space-group type**: No. 10
**DOS at the Fermi energy**: 2.672 states/eV per cell
**Magnetic moment**: 1.07 μB per formula unit
**Offset from the most stable computed form**: 0.00 eV/f.u.

extended XYZ file:
```
4
Lattice="3.829 0.000 -0.010 0.000 4.837 0.000 -0.989 0.000 5.324" Properties=species:S:1:pos:R:3 pbc="T T T"
Re 0.941 0.000 0.689
Re 1.898 0.000 4.625
Au 1.915 2.419 -0.005
Ba -0.495 2.419 2.662
```

This record from Alexandria via LeMat-Bulk describes a PBEsol-optimized structure of Cd8Rh. The functional is SCAN.

## Properties
**Crystal system**: tetragonal
**Uncorrected energy**: -30.81 eV per atom
**Space-group type**: No. 139
**DOS at the Fermi energy**: 2.707 states/eV per cell
**Magnetic moment**: 0.00 μB per formula unit

extended XYZ file:
```
9
Lattice="4.136 0.000 0.000 2.068 6.432 0.000 2.068 0.000 6.432" Properties=species:S:1:pos:R:3 pbc="T T T"
Cd 2.068 2.062 0.000
Cd 4.136 2.105 2.105
Cd 4.136 0.000 4.370
Cd 4.136 4.370 0.000
Cd 2.068 2.105 4.327
Cd 2.068 4.327 2.105
Cd 2.068 0.000 2.062
Cd 4.136 4.327 4.327
Rh 0.000 0.000 0.000
```

This record from Alexandria via LeMat-Bulk describes a PBEsol-optimized structure of ScIn2Fe. The functional is SCAN.

## Properties
**Crystal system**: tetragonal
**Uncorrected energy**: -24.93 eV per atom
**Space-group type**: No. 139
**DOS at the Fermi energy**: 1.730 states/eV per cell
**Magnetic moment**: 1.92 μB per formula unit

extended XYZ file:
```
4
Lattice="4.333 0.000 0.000 -2.166 4.438 -0.053 0.000 2.160 3.756" Properties=species:S:1:pos:R:3 pbc="T T T"
In 2.166 3.839 2.791
In 0.000 2.759 0.913
Sc 0.000 0.000 0.000
Fe 2.166 1.080 1.878
```

This record from Alexandria via LeMat-Bulk describes a PBEsol-optimized structure of BMo3N. The functional is SCAN.

## Properties
**Formation energy (no corrections)**: 1.467 eV per atom
**Crystal system**: cubic
**Uncorrected energy**: -22.81 eV per atom
**Space-group type**: No. 221
**DOS at the Fermi energy**: 5.951 states/eV per cell
**Magnetic moment**: 0.00 μB per formula unit

extended XYZ file:
```
5
Lattice="4.079 0.000 0.000 0.000 4.079 0.000 0.000 0.000 4.079" Properties=species:S:1:pos:R:3 pbc="T T T"
B 0.000 0.000 0.000
Mo 2.040 0.000 0.000
Mo 0.000 0.000 2.040
Mo 0.000 2.040 0.000
N 2.040 2.040 2.040
```

This record from Alexandria via LeMat-Bulk describes a PBEsol-optimized structure of In2SiAu. The functional is SCAN.

## Properties
**Formation energy (no corrections)**: 0.110 eV per atom
**Crystal system**: monoclinic
**Uncorrected energy**: -36.38 eV per atom
**Space-group type**: No. 8
**DOS at the Fermi energy**: 1.446 states/eV per cell
**Magnetic moment**: 0.00 μB per formula unit

extended XYZ file:
```
4
Lattice="3.026 0.000 0.000 -1.513 5.260 -0.147 0.000 -3.032 5.321" Properties=species:S:1:pos:R:3 pbc="T T T"
Si 0.000 2.699 2.877
In 0.000 0.392 0.371
In 0.000 -0.009 3.602
Au 1.513 2.891 0.837
```

This record from Alexandria via LeMat-Bulk describes a PBEsol-optimized structure of Zn2AgMoI. The functional is SCAN.

## Properties
**Formation energy (no corrections)**: 1.704 eV per atom
**Crystal system**: tetragonal
**Uncorrected energy**: -24.30 eV per atom
**Space-group type**: No. 123
**DOS at the Fermi energy**: 2.807 states/eV per cell
**Magnetic moment**: 4.69 μB per formula unit

extended XYZ file:
```
5
Lattice="-1.273 5.040 -0.404 -3.560 -1.190 -3.626 -3.597 -0.609 3.732" Properties=species:S:1:pos:R:3 pbc="T T T"
Zn -1.798 -0.305 1.866
Zn -1.780 -0.595 -1.813
Ag -0.637 2.520 -0.202
I 0.000 0.000 0.000
Mo -4.215 1.621 -0.149
```

This record from Alexandria via LeMat-Bulk describes a PBEsol-optimized structure of In2CuSe. The functional is SCAN.

## Properties
**Formation energy (no corrections)**: 0.078 eV per atom
**Crystal system**: tetragonal
**Uncorrected energy**: -25.43 eV per atom
**Space-group type**: No. 99
**DOS at the Fermi energy**: 1.653 states/eV per cell
**Magnetic moment**: 0.00 μB per formula unit

extended XYZ file:
```
4
Lattice="3.371 0.000 0.000 0.000 3.371 0.000 0.000 0.000 7.569" Properties=species:S:1:pos:R:3 pbc="T T T"
In 1.685 1.685 2.109
In 0.000 0.000 7.260
Cu 1.685 1.685 5.147
Se 0.000 0.000 4.406
```

This record from Alexandria via LeMat-Bulk describes a PBEsol-optimized structure of Sb2Pb. The functional is SCAN.

## Properties
**Formation energy (no corrections)**: 0.043 eV per atom
**Crystal system**: trigonal
**Uncorrected energy**: -50.06 eV per atom
**Space-group type**: No. 164
**DOS at the Fermi energy**: 1.545 states/eV per cell
**Magnetic moment**: 0.00 μB per formula unit
**Offset from the most stable computed form**: 0.00 eV/f.u.

extended XYZ file:
```
3
Lattice="4.226 0.000 0.000 -2.113 3.660 0.000 0.000 0.000 5.801" Properties=species:S:1:pos:R:3 pbc="T T T"
Pb 0.000 0.000 0.000
Sb 0.000 2.440 2.018
Sb 2.113 1.220 3.783
```

This record from Alexandria via LeMat-Bulk describes a PBEsol-optimized structure of Tl2PCl6. The functional is SCAN.

## Properties
**Formation energy (no corrections)**: -0.816 eV per atom
**Crystal system**: cubic
**Uncorrected energy**: -23.37 eV per atom
**Space-group type**: No. 225
**DOS at the Fermi energy**: 3.290 states/eV per cell
**Magnetic moment**: 0.00 μB per formula unit

extended XYZ file:
```
9
Lattice="6.738 0.000 0.000 3.369 5.835 0.000 3.369 1.945 5.502" Properties=species:S:1:pos:R:3 pbc="T T T"
Cl 6.738 1.854 1.311
Cl 4.975 4.908 1.311
Cl 8.501 4.908 1.311
Cl 4.975 2.872 4.191
Cl 6.738 5.926 4.191
Cl 8.501 2.872 4.191
Tl 10.107 5.835 4.126
Tl 3.369 1.945 1.375
P 0.000 0.000 0.000
```

This record from Alexandria via LeMat-Bulk describes a PBEsol-optimized structure of Rb2InAgI6. The functional is SCAN.

## Properties
**Formation energy (no corrections)**: -0.892 eV per atom
**Crystal system**: cubic
**Uncorrected energy**: -33.56 eV per atom
**Space-group type**: No. 225
**DOS at the Fermi energy**: 1.568 states/eV per cell
**Magnetic moment**: 0.00 μB per formula unit

extended XYZ file:
```
10
Lattice="8.235 0.000 0.000 4.117 7.132 0.000 4.117 2.377 6.724" Properties=species:S:1:pos:R:3 pbc="T T T"
I 8.235 7.124 5.037
I 10.287 3.570 5.037
I 8.235 2.385 1.687
I 6.183 3.570 5.037
I 6.183 5.939 1.687
I 10.287 5.939 1.687
In 0.000 0.000 0.000
Rb 12.352 7.132 5.043
Rb 4.117 2.377 1.681
Ag 8.235 4.754 3.362
```

This record from Alexandria via LeMat-Bulk describes a PBEsol-optimized structure of CsSrBr3. The functional is SCAN.

## Properties
**Formation energy (no corrections)**: -2.244 eV per atom
**Crystal system**: orthorhombic
**Uncorrected energy**: -25.94 eV per atom
**Space-group type**: No. 63
**DOS at the Fermi energy**: 0.000 states/eV per cell
**Magnetic moment**: 0.00 μB per formula unit

extended XYZ file:
```
10
Lattice="4.489 0.000 0.000 -2.245 7.361 0.000 0.000 0.000 11.449" Properties=species:S:1:pos:R:3 pbc="T T T"
Br 0.000 0.860 2.862
Br 2.245 6.501 8.586
Br 0.000 5.374 5.200
Br 0.000 5.374 0.525
Br 2.245 1.987 10.924
Br 2.245 1.987 6.249
Sr 0.000 0.000 5.724
Sr 0.000 0.000 0.000
Cs 0.000 3.732 8.586
Cs 2.245 3.629 2.862
```

This record from Alexandria via LeMat-Bulk describes a PBEsol-optimized structure of TcAs2. The functional is SCAN.

## Properties
**Crystal system**: orthorhombic
**Uncorrected energy**: -25.39 eV per atom
**Space-group type**: No. 58
**DOS at the Fermi energy**: 4.521 states/eV per cell
**Magnetic moment**: 0.12 μB per formula unit
**Offset from the most stable computed form**: 0.00 eV/f.u.

extended XYZ file:
```
6
Lattice="2.908 0.000 0.000 0.000 5.588 0.000 0.000 0.000 6.307" Properties=species:S:1:pos:R:3 pbc="T T T"
As 0.000 0.965 3.982
As 1.454 3.759 5.478
As 1.454 1.829 0.829
As 0.000 4.623 2.325
Tc 1.454 2.794 3.153
Tc 0.000 0.000 0.000
```

This record from Alexandria via LeMat-Bulk describes a PBEsol-optimized structure of TiNi. The functional is SCAN.

## Properties
**Crystal system**: orthorhombic
**Uncorrected energy**: -16.57 eV per atom
**Space-group type**: No. 63
**DOS at the Fermi energy**: 1.810 states/eV per cell
**Magnetic moment**: 0.00 μB per formula unit

extended XYZ file:
```
4
Lattice="2.878 0.000 0.000 0.000 3.969 0.000 -1.439 0.000 4.642" Properties=species:S:1:pos:R:3 pbc="T T T"
Ni 1.439 0.992 0.790
Ni 0.000 2.977 3.853
Ti 1.439 0.992 3.313
Ti 0.000 2.977 1.329
```

This record from Alexandria via LeMat-Bulk describes a PBEsol-optimized structure of Li2CaRh. The functional is SCAN.

## Properties
**Crystal system**: tetragonal
**Uncorrected energy**: -12.20 eV per atom
**Space-group type**: No. 99
**DOS at the Fermi energy**: 1.605 states/eV per cell
**Magnetic moment**: 0.01 μB per formula unit
**Offset from the most stable computed form**: 0.06 eV/f.u.

extended XYZ file:
```
4
Lattice="-0.037 2.441 -2.223 -2.004 -1.783 -1.924 -5.614 2.842 3.214" Properties=species:S:1:pos:R:3 pbc="T T T"
Rh -2.527 1.279 1.447
Ca -4.871 2.278 0.131
Li -2.628 1.143 -1.153
Li -0.437 0.221 0.250
```

This record from Alexandria via LeMat-Bulk describes a PBEsol-optimized structure of PmSnAu2. The functional is SCAN.

## Properties
**Crystal system**: cubic
**Uncorrected energy**: -55.36 eV per atom
**Space-group type**: No. 225
**DOS at the Fermi energy**: 1.216 states/eV per cell
**Magnetic moment**: 0.00 μB per formula unit

extended XYZ file:
```
4
Lattice="4.954 0.000 0.000 2.477 4.291 0.000 2.477 1.430 4.045" Properties=species:S:1:pos:R:3 pbc="T T T"
Pm 4.954 2.860 2.023
Au 2.477 1.430 1.011
Au 7.432 4.291 3.034
Sn 0.000 0.000 0.000
```

This record from Alexandria via LeMat-Bulk describes a PBEsol-optimized structure of CdSn2IrBr. The functional is SCAN.

## Properties
**Formation energy (no corrections)**: 0.185 eV per atom
**Crystal system**: tetragonal
**Uncorrected energy**: -38.38 eV per atom
**Space-group type**: No. 123
**DOS at the Fermi energy**: 1.534 states/eV per cell
**Magnetic moment**: 0.00 μB per formula unit

extended XYZ file:
```
5
Lattice="-1.375 2.464 -4.187 3.664 -2.331 -2.575 -3.398 -3.984 -1.229" Properties=species:S:1:pos:R:3 pbc="T T T"
Sn 1.832 -1.165 -1.288
Sn -0.687 1.232 -2.093
Ir 0.000 0.000 0.000
Br -1.699 -1.992 -0.615
Cd -0.554 -1.925 -3.995
```

This record from Alexandria via LeMat-Bulk describes a PBEsol-optimized structure of AlAuBr2. The functional is SCAN.

## Properties
**Formation energy (no corrections)**: 0.242 eV per atom
**Crystal system**: tetragonal
**Uncorrected energy**: -28.71 eV per atom
**Space-group type**: No. 123
**DOS at the Fermi energy**: 1.151 states/eV per cell
**Magnetic moment**: 0.00 μB per formula unit
**Offset from the most stable computed form**: 0.59 eV/f.u.

extended XYZ file:
```
4
Lattice="-2.553 -0.824 2.292 -2.118 -2.909 -3.404 2.684 -3.839 1.610" Properties=species:S:1:pos:R:3 pbc="T T T"
Au -1.276 -0.412 1.146
Br -1.059 -1.454 -1.702
Br 1.342 -1.919 0.805
Al -0.993 -3.786 0.249
```

This record from Alexandria via LeMat-Bulk describes a PBEsol-optimized structure of BaInO2. The functional is SCAN.

## Properties
**Formation energy (no corrections)**: -1.482 eV per atom
**Crystal system**: trigonal
**Uncorrected energy**: -22.83 eV per atom
**Space-group type**: No. 166
**DOS at the Fermi energy**: 1.212 states/eV per cell
**Magnetic moment**: 0.00 μB per formula unit

extended XYZ file:
```
4
Lattice="-2.925 1.725 -0.693 -1.535 -0.362 -3.086 -5.305 -5.000 1.280" Properties=species:S:1:pos:R:3 pbc="T T T"
In -4.883 -1.819 -1.250
O -3.955 -3.071 0.382
O -5.811 -0.567 -2.881
Ba 0.000 0.000 0.000
```

This record from Alexandria via LeMat-Bulk describes a PBEsol-optimized structure of NbSb2Te2. The functional is SCAN.

## Properties
**Formation energy (no corrections)**: 0.372 eV per atom
**Crystal system**: tetragonal
**Uncorrected energy**: -36.06 eV per atom
**Space-group type**: No. 139
**DOS at the Fermi energy**: 2.839 states/eV per cell
**Magnetic moment**: 1.30 μB per formula unit

extended XYZ file:
```
5
Lattice="-3.199 1.069 -2.014 -1.773 -3.348 1.039 -0.977 5.377 8.238" Properties=species:S:1:pos:R:3 pbc="T T T"
Nb 0.000 0.000 0.000
Te -2.618 0.445 4.394
Te -3.331 2.653 2.868
Sb -2.945 3.604 6.591
Sb -3.004 -0.505 0.672
```

This record from Alexandria via LeMat-Bulk describes a PBEsol-optimized structure of NaNiO2. The functional is SCAN.

## Properties
**Formation energy (no corrections)**: -1.492 eV per atom
**Crystal system**: monoclinic
**Uncorrected energy**: -9.70 eV per atom
**Space-group type**: No. 12
**DOS at the Fermi energy**: 0.012 states/eV per cell
**Magnetic moment**: 1.00 μB per formula unit

extended XYZ file:
```
4
Lattice="2.834 0.000 0.000 1.417 2.672 0.011 1.417 0.706 5.150" Properties=species:S:1:pos:R:3 pbc="T T T"
Ni 1.417 1.689 2.581
O 2.834 2.453 3.579
O 2.834 0.926 1.582
Na 1.417 0.000 0.000
```